First-principles (PBE) data for a relaxed structure of CrCd4Sb, as listed in Alexandria via LeMat-Bulk.

Computed properties:
Size of the total moment ... 4.2 μB per formula unit
E_form (uncorrected) ... 0.35 eV per atom

Lattice parameters (Å, degrees): 8.2122 8.2122 8.2122 90.00 90.00 90.00
With the nearest neighbours (Å) after each atom.
Space group F-43m (No. 216)
One atom of each set of equivalent atoms:
Cr 0.0000 0.0000 0.0000  12 Cd 3.40, 4 Sb 3.56
Cd 0.1255 0.1255 0.3745  6 Cd 2.89-2.91
Sb 0.2500 0.2500 0.7500  12 Cd 3.41, 4 Cr 3.56

---

First-principles (PBE) data for a relaxed structure of CrCdSb2, as listed in Alexandria via LeMat-Bulk.

Computed properties:
Size of the total moment ... 3.1 μB per formula unit
E_form (uncorrected) ... 0.17 eV per atom

Lattice parameters (Å, degrees): 3.0757 3.7013 8.5740 90.00 90.00 90.00
With the nearest neighbours (Å) after each atom.
Space group Pmmm (No. 47)
One atom of each set of equivalent atoms:
Cr 0.0000 0.0000 0.0000  8 Sb 2.91, 2 Cr 3.08
Cd 0.5000 0.0000 0.5000  2 Cd 3.08, 4 Sb 3.24
Sb 0.5000 0.5000 0.1902  4 Cr 2.91, 2 Sb 3.08, 2 Cd 3.24

---

Copy entry 1 word for word.
First-principles (PBE) data for a relaxed structure of CrCd4Sb, as listed in Alexandria via LeMat-Bulk.

Computed properties:
Size of the total moment ... 4.2 μB per formula unit
E_form (uncorrected) ... 0.35 eV per atom

Lattice parameters (Å, degrees): 8.2122 8.2122 8.2122 90.00 90.00 90.00
With the nearest neighbours (Å) after each atom.
Space group F-43m (No. 216)
One atom of each set of equivalent atoms:
Cr 0.0000 0.0000 0.0000  12 Cd 3.40, 4 Sb 3.56
Cd 0.1255 0.1255 0.3745  6 Cd 2.89-2.91
Sb 0.2500 0.2500 0.7500  12 Cd 3.41, 4 Cr 3.56

---

- Which of these has the lowest E_form (uncorrected)?
  CrCdSb2